A plane-wave DFT calculation with PBE was carried out for a geometry-optimized GdErMgBe structure.

Output
formation enthalpy at 0 K: 89 meV/atom
total magnetization: 1.919 μB/atom

Geometry as POSCAR:
```
GdErMgBe
1.0
-4.806 -0.891 1.432
-1.526 -4.761 0.973
-1.009 -1.423 4.785
Mg Gd Be Er
1 1 1 1
Cartesian
-3.671 -3.538 3.595
-5.506 -5.307 5.393
0.000 0.000 0.000
-1.835 -1.769 1.798
```